[1]
Below is crystalline KTe2AuI at its relaxed geometry, with properties calculated at the PBEsol level.

Values from the calculation:
calculated total energy: -2.9646 eV/atom
formation energy from raw total energies: -189 meV/atom
SG: P4/mmm
V: 170.74 Å³ per cell
size of the total moment: 0.00 μB/cell

a = 5.4473 Å, b = 5.4473 Å, c = 5.7540 Å
α = 90.00°, β = 90.00°, γ = 90.00°
Fractional coordinates of all 5 atoms:
1 I 0.0000 0.0000 0.5000
2 K 0.5000 0.5000 0.5000
3 Te 0.0000 0.5000 0.0000
4 Te 0.5000 0.0000 0.0000
5 Au 0.0000 0.0000 0.0000


[2]
Below is crystalline La12Au3I13 at its relaxed geometry, with properties calculated at the PBEsol level.

Values from the calculation:
calculated total energy: -4.7124 eV/atom
formation energy from raw total energies: -1180 meV/atom
SG: R32
V: 984.24 Å³ per cell
size of the total moment: 0.00 μB/cell

a = 10.8103 Å, b = 10.8681 Å, c = 10.8681 Å
α = 70.42°, β = 70.64°, γ = 109.36°
Fractional coordinates of all 28 atoms:
1 La 0.2571 0.7459 0.0083
2 La 0.4888 0.7459 0.2458
3 La 0.0000 0.2614 0.2614
4 La 0.0000 0.4855 0.4855
5 La 0.4855 0.4855 0.0291
6 La 0.7386 0.4772 0.2614
7 La 0.2614 0.2614 0.4772
8 La 0.5145 0.0291 0.4855
9 La 0.5112 0.2458 0.7459
10 La 0.7429 0.0083 0.7459
11 La 0.7346 0.2458 0.0083
12 La 0.2654 0.0083 0.2458
13 Au 0.7497 0.2497 0.5006
14 Au 0.2503 0.5006 0.2497
15 Au 0.5000 0.2497 0.2497
16 I 0.2286 0.9896 0.7614
17 I 0.7714 0.7614 0.9896
18 I 0.9900 0.7614 0.2490
19 I 0.7610 0.9896 0.2490
20 I 0.9883 0.9765 0.5117
21 I 0.2384 0.7384 0.5233
22 I 0.7616 0.5233 0.7384
23 I 0.0117 0.5117 0.9765
24 I 0.5000 0.7384 0.7384
25 I 0.5000 0.5117 0.5117
26 I 0.0100 0.2490 0.7614
27 I 0.2390 0.2490 0.9896
28 I 0.5000 0.0000 0.0000


Which value of formation energy from raw total energies does entry 1 give?
-189 meV/atom


What is the calculated total energy in the second record?
-4.7124 eV/atom


Among the records above, which one has the lowest V?
KTe2AuI


What is the formula in the second record?
La12Au3I13